Here is an optimized crystal structure of TaCl3O from Alexandria. Energies are from PBE.

Structure (extended XYZ):
```
5
Lattice="4.7639 0.0000 0.0000 0.0000 4.7639 0.0000 0.0000 0.0000 4.7639" Properties=species:S:1:pos:R:3 pbc="T T T"
Ta 0.0000 0.0000 0.0000
Cl 0.0000 0.0000 2.3819
Cl 0.0000 2.3819 0.0000
Cl 2.3819 0.0000 0.0000
O 2.3819 2.3819 2.3819
```

**Space group**: No. 221
**Fermi-level density of states**: 11.8 states/eV/cell
**E_form (uncorrected)**: -0.033 eV per atom
**Volume**: 21.62 Å³/atom
**Magnetization**: 0.000 μB/cell